Record 1
{
  "formula": "PrP12Os4",
  "functional": "GGA-PBE",
  "state": "optimized geometry",
  "lattice": [[-4.0603, 4.0603, 4.0603], [4.0603, -4.0603, 4.0603], [4.0603, 4.0603, -4.0603]],
  "species": ["Pr", "P", "P", "P", "P", "P", "P", "P", "P", "P", "P", "P", "P", "Os", "Os", "Os", "Os"],
  "fractional_positions": [[0.0000, 0.0000, 0.0000], [0.1435, 0.5006, 0.3571], [0.1435, 0.7864, 0.6429], [0.2136, 0.3571, 0.8565], [0.3571, 0.1435, 0.5006], [0.3571, 0.8565, 0.2136], [0.4994, 0.6429, 0.8565], [0.5006, 0.3571, 0.1435], [0.6429, 0.1435, 0.7864], [0.6429, 0.8565, 0.4994], [0.7864, 0.6429, 0.1435], [0.8565, 0.2136, 0.3571], [0.8565, 0.4994, 0.6429], [0.0000, 0.0000, 0.5000], [0.0000, 0.5000, 0.0000], [0.5000, 0.0000, 0.0000], [0.5000, 0.5000, 0.5000]]
}

***

Record 2
{
  "formula": "Rb2P2Os",
  "functional": "GGA-PBE",
  "state": "optimized geometry",
  "lattice": [[3.3275, -8.0043, 0.0000], [3.3275, 8.0043, 0.0000], [0.0000, 0.0000, 5.2579]],
  "species": ["Rb", "Rb", "Rb", "Rb", "P", "P", "P", "P", "Os", "Os"],
  "fractional_positions": [[0.0765, 0.9235, 0.7500], [0.2837, 0.7163, 0.2500], [0.7163, 0.2837, 0.7500], [0.9235, 0.0765, 0.2500], [0.2252, 0.4425, 0.7500], [0.4425, 0.2252, 0.2500], [0.5575, 0.7748, 0.7500], [0.7748, 0.5575, 0.2500], [0.5000, 0.5000, 0.0000], [0.5000, 0.5000, 0.5000]]
}

***

Record 3
{
  "formula": "RbP5Os3",
  "functional": "GGA-PBE",
  "state": "optimized geometry",
  "lattice": [[5.5295, 0.0000, 0.0000], [-2.7647, 4.7887, 0.0000], [0.0000, 0.0000, 7.4104]],
  "species": ["Rb", "P", "P", "P", "P", "P", "Os", "Os", "Os"],
  "fractional_positions": [[0.0000, 0.0000, 0.0000], [0.0000, 0.0000, 0.5000], [0.3333, 0.6667, 0.2599], [0.3333, 0.6667, 0.7401], [0.6667, 0.3333, 0.2599], [0.6667, 0.3333, 0.7401], [0.0000, 0.5000, 0.5000], [0.5000, 0.0000, 0.5000], [0.5000, 0.5000, 0.5000]]
}

***

Record 4
{
  "formula": "Sb3POs2",
  "functional": "GGA-PBE",
  "state": "optimized geometry",
  "lattice": [[5.8229, 0.0000, 0.0000], [0.0000, 3.1735, 0.0000], [-0.2719, 0.0000, 6.5714]],
  "species": ["Sb", "Sb", "Sb", "P", "Os", "Os"],
  "fractional_positions": [[0.0000, 0.0000, 0.0000], [0.1511, 0.5000, 0.4856], [0.6349, 0.0000, 0.7106], [0.5065, 0.5000, 0.2112], [0.3303, 0.5000, 0.8789], [0.7845, 0.0000, 0.3418]]
}

***

Taking the records one at a time from the top gives magnetic moment values of 0.01; 0.00; 0.94; 0.01 μB per formula unit.
Taking the records one at a time from the top gives raw total energy values of -7.33; -4.91; -6.66; -6.77 eV per atom.